# 1
The following is a DFT calculation (PBE-GGA) of a relaxed YTe2N crystal.

Summary:
The calculation puts the total energy at -5.00 eV per atom. Its symmetry is I-42d, No. 122. Its formation energy without anion corrections is 0.27 eV per atom.

abc: 6.0568 6.0568 7.5682
angles: 66.41 66.41 90.00
Last column: nearest neighbours and their distance in Å.
Fractional positions:
Y (0.0000, 0.0000, 0.0000)  4 Te 3.09
Y (0.7500, 0.2500, 0.5000)  4 Te 3.09
Te (0.5130, 0.1250, 0.2500)  2 N 2.33
Te (0.2370, 0.6250, 0.2500)  2 N 2.33
Te (0.3750, 0.4870, 0.7500)  2 N 2.33
Te (0.8750, 0.7630, 0.7500)  2 N 2.33
N (0.5000, 0.5000, 0.0000)  4 Te 2.33
N (0.2500, 0.7500, 0.5000)  4 Te 2.33

# 2
The following is a DFT calculation (PBE-GGA) of a relaxed Y2TeN crystal.

Summary:
Its polymorph energy (0 for the lowest one) is 9 meV/atom. The calculation puts the total energy at -7.48 eV per atom. Its symmetry is R3m, No. 160. Its formation energy without anion corrections is -1.38 eV per atom.

abc: 3.7480 3.7480 7.3104
angles: 75.15 75.15 60.00
Last column: nearest neighbours and their distance in Å.
Fractional positions:
Y (0.0602, 0.0602, 0.8193)  3 N 2.47
Y (0.2707, 0.2707, 0.1880)  3 N 2.56
Te (0.4995, 0.4995, 0.5015)  6 Y 3.08-3.10
N (0.6696, 0.6696, 0.9912)  6 Y 2.47-2.56

# 3
The following is a DFT calculation (PBE-GGA) of a relaxed YTeN crystal.

Summary:
The calculation puts the total energy at -6.73 eV per atom. Its symmetry is Pmmn, No. 59. Its formation energy without anion corrections is -0.76 eV per atom.

abc: 4.5126 6.1089 10.7180
angles: 90.00 90.00 90.00
Last column: nearest neighbours and their distance in Å.
Fractional positions:
N (0.5000, 0.0992, 0.7728)  1 N 1.21
N (0.0000, 0.5992, 0.2272)  1 N 1.21
N (0.5000, 0.9008, 0.7728)  1 N 1.21
N (0.0000, 0.4008, 0.2272)  1 N 1.21
Y (0.0000, 0.5000, 0.6381)  5 Te 3.00-3.21
Y (0.0000, 0.0000, 0.8552)  4 N 2.50
Y (0.5000, 0.0000, 0.3619)  5 Te 3.00-3.21
Y (0.5000, 0.5000, 0.1448)  4 N 2.50
Te (0.0000, 0.0000, 0.5461)  5 Y 3.00-3.31
Te (0.0000, 0.5000, 0.9183)  5 Y 3.00-3.31
Te (0.5000, 0.0000, 0.0817)  5 Y 3.00-3.31
Te (0.5000, 0.5000, 0.4539)  5 Y 3.00-3.31